Entry 1:
Compound: Ac3LaPb2N
Source: Alexandria via LeMat-Bulk
Functional: PBE-GGA
Structure: optimized geometry

abc: 9.610 9.610 9.610
angles: 149.32 148.57 44.49
Positions (direct):
Ac  0.000  0.000  0.000
Ac  0.333  0.833  0.500
Ac  0.667  0.167  0.500
La  0.500  0.500  0.000
Pb  0.139  0.639  0.500
Pb  0.861  0.361  0.500
N  0.500  0.000  0.500

Values from the calculation:
**E_form (uncorrected)**: -0.733 eV per atom

Entry 2:
Compound: Ac3La2Pb3N2
Source: Alexandria via LeMat-Bulk
Functional: PBE-GGA
Structure: optimized geometry

abc: 13.710 13.710 13.710
angles: 159.33 159.33 29.40
Positions (direct):
Ac  0.000  0.000  0.000
Ac  0.369  0.369  0.000
Ac  0.631  0.631  0.000
La  0.250  0.750  0.500
La  0.750  0.250  0.500
Pb  0.137  0.137  0.000
Pb  0.500  0.500  0.000
Pb  0.863  0.863  0.000
N  0.278  0.278  0.000
N  0.722  0.722  0.000

Values from the calculation:
**E_form (uncorrected)**: -0.796 eV per atom